No. 1
! BeCrRu2, relaxed, DFT PBEsol; values from VASP
&SYSTEM
  ibrav = 0, nat = 4, ntyp = 3
/
ATOMIC_SPECIES
Ru 101.07 Ru.upf
Be 9.01 Be.upf
Cr 52.00 Cr.upf
CELL_PARAMETERS angstrom
4.078 0.000 0.000
2.039 3.531 0.000
2.039 1.177 3.329
ATOMIC_POSITIONS crystal
Ru 0.000 0.000 0.000
Ru 0.750 0.750 0.750
Be 0.500 0.500 0.500
Cr 0.250 0.250 0.250
! density of states at the Fermi level	1.32	states/eV per atom
! electronic total energy	-8.37	eV per atom
! calculated volume	12.0	Å³/atom

No. 2
! LiMnSi4O10, relaxed, DFT PBEsol; values from VASP
&SYSTEM
  ibrav = 0, nat = 64, ntyp = 4
/
ATOMIC_SPECIES
Li 6.94 Li.upf
Mn 54.94 Mn.upf
Si 28.09 Si.upf
O 16.00 O.upf
CELL_PARAMETERS angstrom
-5.099 1.970 -4.714
-4.818 0.361 5.363
3.484 14.221 2.173
ATOMIC_POSITIONS crystal
Li 0.500 0.500 0.000
Li 0.500 0.500 0.500
Li 0.000 0.000 0.500
Li 0.000 0.000 0.000
Mn 0.500 0.000 0.574
Mn 0.500 0.000 0.074
Mn 0.000 0.500 0.426
Mn 0.000 0.500 0.926
Si 0.247 0.826 0.356
Si 0.247 0.174 0.856
Si 0.326 0.747 0.856
Si 0.326 0.253 0.356
Si 0.674 0.253 0.856
Si 0.674 0.747 0.356
Si 0.753 0.826 0.856
Si 0.753 0.174 0.356
Si 0.747 0.674 0.144
Si 0.747 0.326 0.644
Si 0.826 0.247 0.144
Si 0.826 0.753 0.644
Si 0.174 0.753 0.144
Si 0.174 0.247 0.644
Si 0.253 0.674 0.644
Si 0.253 0.326 0.144
O 0.245 0.047 0.379
O 0.245 0.953 0.879
O 0.258 0.912 0.079
O 0.258 0.088 0.579
O 0.294 0.294 0.250
O 0.294 0.706 0.750
O 0.412 0.758 0.579
O 0.412 0.242 0.079
O 0.453 0.745 0.379
O 0.453 0.255 0.879
O 0.547 0.255 0.379
O 0.547 0.745 0.879
O 0.588 0.758 0.079
O 0.588 0.242 0.579
O 0.706 0.294 0.750
O 0.706 0.706 0.250
O 0.742 0.088 0.079
O 0.742 0.912 0.579
O 0.755 0.953 0.379
O 0.755 0.047 0.879
O 0.745 0.547 0.621
O 0.745 0.453 0.121
O 0.758 0.588 0.421
O 0.758 0.412 0.921
O 0.794 0.206 0.250
O 0.794 0.794 0.750
O 0.912 0.258 0.421
O 0.912 0.742 0.921
O 0.953 0.755 0.121
O 0.953 0.245 0.621
O 0.047 0.245 0.121
O 0.047 0.755 0.621
O 0.088 0.742 0.421
O 0.088 0.258 0.921
O 0.206 0.794 0.250
O 0.206 0.206 0.750
O 0.242 0.412 0.421
O 0.242 0.588 0.921
O 0.255 0.547 0.121
O 0.255 0.453 0.621
! density of states at the Fermi level	0.00	states/eV per atom
! formation energy from raw total energies	-2.51	eV/atom
! calculated volume	12.0	Å³/atom

No. 3
! LiZrI2O, relaxed, DFT PBEsol; values from VASP
&SYSTEM
  ibrav = 0, nat = 5, ntyp = 4
/
ATOMIC_SPECIES
I 126.90 I.upf
O 16.00 O.upf
Zr 91.22 Zr.upf
Li 6.94 Li.upf
CELL_PARAMETERS angstrom
-1.799 -0.028 -3.053
-4.372 -1.256 2.588
-1.103 5.081 0.603
ATOMIC_POSITIONS crystal
I 0.000 0.000 0.500
I 0.000 0.500 0.000
O 0.500 0.000 0.000
Zr 0.500 0.500 0.500
Li 0.000 0.000 0.000
! density of states at the Fermi level	0.58	states/eV per atom
! formation energy from raw total energies	-0.37	eV/atom
! calculated volume	19.4	Å³/atom